Lu4MgRh | meta-GGA SCAN | single point on PBEsol structure

The structure in CIF format:
```
data_Lu4MgRh
_cell_length_a 13.247
_cell_length_b 13.247
_cell_length_c 13.247
_cell_angle_alpha 90.00
_cell_angle_beta 90.00
_cell_angle_gamma 90.00
_symmetry_space_group_name_H-M 'F -4 3 m'
_symmetry_Int_Tables_number 216
_symmetry_space_group_name_Hall 'F -4 2 3'
loop_
_atom_site_label
_atom_site_type_symbol
_atom_site_fract_x
_atom_site_fract_y
_atom_site_fract_z
_atom_site_occupancy
Lu1 Lu 0.000 0.000 0.185 1
Lu2 Lu 0.063 0.250 0.750 1
Lu3 Lu 0.096 0.096 0.404 1
Mg1 Mg 0.170 0.170 0.170 1
Rh1 Rh 0.109 0.109 0.609 1
```

The volume is 2324.7 Å³/cell. The electronic total energy comes out at -1.611 Ha/atom. For the mass density, the calculation gives 9.45 g cm⁻³.